Entry 1:
NaCa2HPb (PBE, relaxed); E = -2.89 eV per atom; space-group type = No. 123; DOS at the Fermi energy = 0.17 states/eV/atom
1.0
5.072 0.000 0.000
0.000 5.072 0.000
0.000 0.000 4.596
Na Ca H Pb
1 2 1 1
Cartesian
0.000 0.000 0.000
0.000 2.536 2.298
2.536 0.000 2.298
0.000 0.000 2.298
2.536 2.536 0.000

Entry 2:
NaCa2HPd (PBE, relaxed); E = -3.02 eV per atom; space-group type = No. 123; polymorph energy (0 for the lowest one) = 60 meV per atom; DOS at the Fermi energy = 0.62 states/eV/atom
1.0
5.135 0.000 0.000
0.000 5.135 0.000
0.000 0.000 4.063
Na Ca H Pd
1 2 1 1
Cartesian
0.000 0.000 0.000
0.000 2.567 2.031
2.567 0.000 2.031
2.567 2.567 2.031
2.567 2.567 0.000

Entry 3:
NaCaH4Pd (PBE, relaxed); E = -3.48 eV per atom; space-group type = No. 107; DOS at the Fermi energy = 0.20 states/eV/atom
1.0
-1.832 1.832 6.089
1.832 -1.832 6.089
1.832 1.832 -6.089
Na Ca H Pd
1 1 4 1
Cartesian
0.000 0.000 0.000
0.000 0.000 8.758
0.000 0.000 2.461
1.832 0.000 4.334
0.000 0.000 6.317
0.000 1.832 4.334
0.000 0.000 4.385

Entry 4:
NaCaHPd2 (PBE, relaxed); E = -3.70 eV per atom; space-group type = No. 123; DOS at the Fermi energy = 0.13 states/eV/atom
1.0
4.258 0.000 0.000
0.000 4.258 0.000
0.000 0.000 4.380
Na Ca H Pd
1 1 1 2
Cartesian
0.000 0.000 0.000
2.129 2.129 0.000
0.000 0.000 2.190
0.000 2.129 2.190
2.129 0.000 2.190

Entry 5:
NaCa2H6Pd (PBE, relaxed); E = -3.32 eV per atom; space-group type = No. 164; DOS at the Fermi energy = 0.24 states/eV/atom
1.0
5.178 0.000 0.000
-2.589 4.484 0.000
0.000 0.000 5.503
Na Ca H Pd
1 2 6 1
Cartesian
0.000 0.000 0.000
0.000 2.989 3.610
2.589 1.495 1.892
0.000 1.525 1.709
-1.268 3.721 1.709
1.321 0.763 3.794
1.268 3.721 1.709
3.857 0.763 3.794
2.589 2.959 3.794
0.000 0.000 2.751

Entry 6:
NaCa2HPd (PBE, relaxed); E = -3.08 eV per atom; space-group type = No. 123; polymorph energy (0 for the lowest one) = 0 meV per atom; DOS at the Fermi energy = 0.40 states/eV/atom
1.0
4.943 0.000 0.000
0.000 4.943 0.000
0.000 0.000 4.250
Na Ca H Pd
1 2 1 1
Cartesian
0.000 0.000 0.000
0.000 2.472 2.125
2.472 0.000 2.125
0.000 0.000 2.125
2.472 2.472 0.000